## Pr15Nd4Sc (PBE)

Data for crystalline Pr15Nd4Sc at its relaxed geometry.

a b c (Å): 5.223 5.223 26.019
angles (deg): 90.00 90.00 90.00
Fractional coordinates of all 20 atoms:
Pr: 0.000 0.000 0.000
Pr: 0.000 0.000 0.196
Pr: 0.000 0.000 0.399
Pr: 0.000 0.000 0.601
Pr: 0.000 0.000 0.804
Pr: 0.000 0.500 0.096
Pr: 0.000 0.500 0.298
Pr: 0.000 0.500 0.500
Pr: 0.000 0.500 0.702
Pr: 0.000 0.500 0.904
Pr: 0.500 0.000 0.096
Pr: 0.500 0.000 0.298
Pr: 0.500 0.000 0.500
Pr: 0.500 0.000 0.702
Pr: 0.500 0.000 0.904
Nd: 0.500 0.500 0.197
Nd: 0.500 0.500 0.399
Nd: 0.500 0.500 0.601
Nd: 0.500 0.500 0.803
Sc: 0.500 0.500 0.000

Density in g/cm3: 6.40
Total energy in eV per cell: -96.7